(1)
A geometry-optimized Cs2SiPb2 structure. Source: the Alexandria database, functional GGA-PBEsol.

**Crystal system**: tetragonal
**DOS at the Fermi energy**: 0.763 states/eV per atom
**M_tot**: 1.0 μB/f.u.
**E_form (uncorrected)**: 2.0 eV per formula unit
**Total DFT energy (no corrections)**: -27.35 eV for the cell shown

Cell lengths 4.299, 4.299, 23.313 Å; angles 90.00, 90.00, 90.00 degrees
Space group I4/mmm (No. 139)
Inequivalent atoms, fractional coordinates:
Cs  0.000  0.000  0.094 [4 per cell]
Si  0.000  0.000  0.500 [2 per cell]
Pb  0.000  0.500  0.250 [4 per cell]

---

(2)
A geometry-optimized TeRh2O6 structure. Source: the Alexandria database, functional GGA-PBEsol.

**Crystal system**: tetragonal
**DOS at the Fermi energy**: 0.627 states/eV per atom
**M_tot**: 0.0 μB/f.u.
**E_form (uncorrected)**: -7.9 eV per formula unit
**Total DFT energy (no corrections)**: -118.41 eV for the cell shown

Cell lengths 4.598, 4.598, 9.430 Å; angles 90.00, 90.00, 90.00 degrees
Space group P4_2/mnm (No. 136)
Inequivalent atoms, fractional coordinates:
Te  0.000  0.000  0.000 [2 per cell]
Rh  0.000  0.000  0.332 [4 per cell]
O  0.188  0.188  0.500 [4 per cell]
O  0.196  0.196  0.169 [8 per cell]

---

(3)
A geometry-optimized ZrCuBr structure. Source: the Alexandria database, functional GGA-PBEsol.

**Crystal system**: hexagonal
**DOS at the Fermi energy**: 0.750 states/eV per atom
**M_tot**: 0.0 μB/f.u.
**E_form (uncorrected)**: 0.1 eV per formula unit
**Total DFT energy (no corrections)**: -15.17 eV for the cell shown

Cell lengths 4.5613, 4.5613, 3.1429 Å; angles 90.00, 90.00, 120.00 degrees
Space group P-6m2 (No. 187)
Inequivalent atoms, fractional coordinates:
Zr  0.0000  0.0000  0.0000 [1 per cell]
Cu  0.3333  0.6667  0.5000 [1 per cell]
Br  0.6667  0.3333  0.0000 [1 per cell]

---

(4)
A geometry-optimized LaTb3Mo4O14 structure. Source: the Alexandria database, functional GGA-PBEsol.

**Crystal system**: trigonal
**DOS at the Fermi energy**: 0.258 states/eV per atom
**M_tot**: 8.0 μB/f.u.
**E_form (uncorrected)**: -58.1 eV per formula unit
**Total DFT energy (no corrections)**: -597.21 eV for the cell shown

Cell lengths 7.2771, 7.2771, 17.8623 Å; angles 90.00, 90.00, 120.00 degrees
Space group R-3m (No. 166, hexagonal axes)
Inequivalent atoms, fractional coordinates:
La  0.0000  0.0000  0.0000 [3 per cell]
Tb  0.0000  0.5000  0.5000 [9 per cell]
Mo  0.0000  0.0000  0.5000 [3 per cell]
Mo  0.0000  0.5000  0.0000 [9 per cell]
O  0.0000  0.0000  0.1295 [6 per cell]
O  0.0543  0.5272  0.1118 [18 per cell]
O  0.0583  0.5292  0.3638 [18 per cell]

---

(5)
A geometry-optimized In2BrCl structure. Source: the Alexandria database, functional GGA-PBEsol.

**Crystal system**: cubic
**ΔE to the lowest computed polymorph**: 0.17 eV/f.u.
**M_tot**: 0.0 μB/f.u.
**E_form (uncorrected)**: -2.6 eV per formula unit
**Total DFT energy (no corrections)**: -49.58 eV for the cell shown

Cell lengths 7.588, 7.588, 7.588 Å; angles 90.00, 90.00, 90.00 degrees
Space group Fm-3m (No. 225)
Inequivalent atoms, fractional coordinates:
In  0.250  0.250  0.250 [8 per cell]
Br  0.000  0.000  0.000 [4 per cell]
Cl  0.000  0.000  0.500 [4 per cell]

---

(6)
A geometry-optimized MnO2 structure. Source: the Alexandria database, functional GGA-PBEsol.

**Crystal system**: tetragonal
**M_tot**: 3.0 μB/f.u.
**E_form (uncorrected)**: -4.9 eV per formula unit
**Total DFT energy (no corrections)**: -201.15 eV for the cell shown

Cell lengths 9.710, 9.710, 2.840 Å; angles 90.00, 90.00, 90.00 degrees
Space group I4/m (No. 87)
Inequivalent atoms, fractional coordinates:
Mn  0.152  0.332  0.000 [8 per cell]
O  0.042  0.665  0.000 [8 per cell]
O  0.155  0.203  0.500 [8 per cell]